(1)
BaCuCl4: optimized geometry, PBE.

Cell lengths 8.688, 9.364, 4.433 Å; angles 90.00, 90.00, 90.00 degrees
Space group Cmmm (No. 65)
One atom of each set of equivalent atoms:
1 Ba 0.000 0.000 0.000 x2
2 Cu 0.000 0.500 0.500 x2
3 Cl 0.000 0.326 0.000 x4
4 Cl 0.242 0.000 0.500 x4

V ... 360.6 Å³ per cell
Polymorph energy (0 for the lowest one) ... 0.146 eV/atom
M_tot ... 0.172 μB/atom
Total DFT energy (no corrections) ... -42.8 eV/cell
Energy relative to the elements, uncorrected ... -1.331 eV/atom

---

(2)
Ba4CuCl: optimized geometry, PBE.

Cell lengths 10.587, 10.587, 10.587 Å; angles 90.00, 90.00, 90.00 degrees
Space group F-43m (No. 216)
One atom of each set of equivalent atoms:
1 Ba 0.125 0.125 0.125 x16
2 Cu 0.000 0.000 0.500 x4
3 Cl 0.250 0.250 0.750 x4

V ... 1186.5 Å³ per cell
M_tot ... 0.000 μB/atom
Total DFT energy (no corrections) ... -47.1 eV/cell
Energy relative to the elements, uncorrected ... 0.308 eV/atom